Entry 1:
## CsDyAlSe4 (PBE)

Data for a relaxed CsDyAlSe4 crystal.

```
CsDyAlSe4
1.0
7.1770 0.0000 0.0000
0.0000 6.0487 0.0000
-2.6831 0.0000 9.8730
Cs Dy Al Se
2 2 2 8
Direct
0.2453 0.2500 0.0440
0.7547 0.7500 0.9560
0.2517 0.2500 0.5522
0.7483 0.7500 0.4478
0.2610 0.7500 0.3406
0.7390 0.2500 0.6594
0.0060 0.5116 0.6942
0.0060 0.9884 0.6942
0.4236 0.7500 0.5740
0.4588 0.7500 0.1922
0.5412 0.2500 0.8078
0.5764 0.2500 0.4260
0.9940 0.0116 0.3058
0.9940 0.4884 0.3058
```

Output
- magnetic moment (μB/f.u.) = 0.0
- calculated volume (Å³/atom) = 30.615
- symmetry = P2_1/m, No. 11
- D(E_F) (states/eV per atom) = 0.26
- final energy (eV per atom) = -4.585


Entry 2:
## Cs2DyAlTe4 (PBE)

Data for a relaxed Cs2DyAlTe4 crystal.

```
Cs2DyAlTe4
1.0
0.0000 7.9699 14.1031
3.3983 0.0000 14.1031
3.3983 7.9699 0.0000
Cs Dy Al Te
4 2 2 8
Direct
0.0562 0.0562 0.6938
0.3062 0.3062 0.9438
0.6938 0.6938 0.0562
0.9438 0.9438 0.3062
0.1250 0.1250 0.1250
0.8750 0.8750 0.8750
0.3750 0.3750 0.3750
0.6250 0.6250 0.6250
0.0003 0.3583 0.4500
0.9997 0.6417 0.5500
0.3086 0.5500 0.6417
0.3583 0.0003 0.6914
0.4500 0.6914 0.0003
0.5500 0.3086 0.9997
0.6417 0.9997 0.3086
0.6914 0.4500 0.3583
```

Output
- magnetic moment (μB/f.u.) = 0.0
- calculated volume (Å³/atom) = 47.747
- symmetry = Fddd, No. 70
- D(E_F) (states/eV per atom) = 0.00
- final energy (eV per atom) = -3.860


Entry 3:
## Cs2ErAlO4 (PBE)

Data for a relaxed Cs2ErAlO4 crystal.

```
Cs2ErAlO4
1.0
0.0000 6.3923 11.7326
2.7531 0.0000 11.7326
2.7531 6.3923 0.0000
Cs Er Al O
4 2 2 8
Direct
0.0538 0.0538 0.6962
0.3038 0.3038 0.9462
0.6962 0.6962 0.0538
0.9462 0.9462 0.3038
0.1250 0.1250 0.1250
0.8750 0.8750 0.8750
0.3750 0.3750 0.3750
0.6250 0.6250 0.6250
0.0438 0.6272 0.5440
0.2850 0.5440 0.6272
0.3728 0.9562 0.7150
0.4560 0.7150 0.9562
0.5440 0.2850 0.0438
0.6272 0.0438 0.2850
0.7150 0.4560 0.3728
0.9562 0.3728 0.4560
```

Output
- magnetic moment (μB/f.u.) = 0.0
- calculated volume (Å³/atom) = 25.809
- symmetry = Fddd, No. 70
- D(E_F) (states/eV per atom) = 0.00
- final energy (eV per atom) = -6.052


Entry 4:
## Cs3Er3AlS8 (PBE)

Data for a relaxed Cs3Er3AlS8 crystal.

```
Cs3Er3AlS8
1.0
6.8102 -3.9282 0.0000
6.8102 3.9282 0.0000
-4.5464 0.0000 8.2196
Cs Er Al S
3 3 1 8
Direct
0.0000 0.0000 0.0000
0.0000 0.5000 0.0000
0.5000 0.0000 0.0000
0.0000 0.5000 0.5000
0.5000 0.0000 0.5000
0.5000 0.5000 0.5000
0.0000 0.0000 0.5000
0.2105 0.7479 0.6687
0.2107 0.2107 0.6688
0.2521 0.7895 0.3313
0.2730 0.2730 0.3191
0.7270 0.7270 0.6809
0.7479 0.2105 0.6687
0.7893 0.7893 0.3312
0.7895 0.2521 0.3313
```

Output
- magnetic moment (μB/f.u.) = 0.0
- calculated volume (Å³/atom) = 29.319
- symmetry = C2/m, No. 12
- D(E_F) (states/eV per atom) = 0.82
- final energy (eV per atom) = -5.086


Entry 5:
## Cs2ErAlS4 (PBE)

Data for a relaxed Cs2ErAlS4 crystal.

```
Cs2ErAlS4
1.0
0.0000 7.3077 12.9628
3.1033 0.0000 12.9628
3.1033 7.3077 0.0000
Cs Er Al S
4 2 2 8
Direct
0.0534 0.0534 0.6966
0.3034 0.3034 0.9466
0.6966 0.6966 0.0534
0.9466 0.9466 0.3034
0.1250 0.1250 0.1250
0.8750 0.8750 0.8750
0.3750 0.3750 0.3750
0.6250 0.6250 0.6250
0.0157 0.6360 0.5499
0.2984 0.5499 0.6360
0.3640 0.9843 0.7016
0.4501 0.7016 0.9843
0.5499 0.2984 0.0157
0.6360 0.0157 0.2984
0.7016 0.4501 0.3640
0.9843 0.3640 0.4501
```

Output
- magnetic moment (μB/f.u.) = 0.0
- calculated volume (Å³/atom) = 36.746
- symmetry = Fddd, No. 70
- D(E_F) (states/eV per atom) = 0.00
- final energy (eV per atom) = -4.775


Entry 6:
## CsErAlS4 (PBE)

Data for a relaxed CsErAlS4 crystal.

```
CsErAlS4
1.0
6.8528 0.0000 0.0000
0.0000 5.6921 0.0000
-2.5067 0.0000 9.5668
Cs Er Al S
2 2 2 8
Direct
0.2461 0.2500 0.0384
0.7539 0.7500 0.9616
0.2530 0.2500 0.5557
0.7470 0.7500 0.4443
0.2583 0.7500 0.3416
0.7417 0.2500 0.6584
0.0005 0.5140 0.6882
0.0005 0.9860 0.6882
0.4210 0.7500 0.5670
0.4570 0.7500 0.1988
0.5430 0.2500 0.8012
0.5790 0.2500 0.4330
0.9995 0.0140 0.3118
0.9995 0.4860 0.3118
```

Output
- magnetic moment (μB/f.u.) = 0.2
- calculated volume (Å³/atom) = 26.655
- symmetry = P2_1/m, No. 11
- D(E_F) (states/eV per atom) = 0.23
- final energy (eV per atom) = -5.044


Entry 7:
## Cs3Er3AlSe8 (PBE)

Data for a relaxed Cs3Er3AlSe8 crystal.

```
Cs3Er3AlSe8
1.0
4.0777 2.3542 8.6165
-4.0777 2.3542 8.6165
0.0000 -4.7085 8.6165
Cs Er Al Se
3 3 1 8
Direct
0.0000 0.5000 0.5000
0.5000 0.0000 0.5000
0.5000 0.5000 0.0000
0.0000 0.0000 0.5000
0.0000 0.5000 0.0000
0.5000 0.0000 0.0000
0.5000 0.5000 0.5000
0.2285 0.2285 0.2285
0.2465 0.7137 0.7137
0.2863 0.2863 0.7535
0.2863 0.7535 0.2863
0.7137 0.2465 0.7137
0.7137 0.7137 0.2465
0.7535 0.2863 0.2863
0.7715 0.7715 0.7715
```

Output
- magnetic moment (μB/f.u.) = 0.0
- calculated volume (Å³/atom) = 33.094
- symmetry = R-3m, No. 166
- D(E_F) (states/eV per atom) = 0.69
- final energy (eV per atom) = -4.636


Entry 8:
## Cs2ErAlSe4 (PBE)

Data for a relaxed Cs2ErAlSe4 crystal.

```
Cs2ErAlSe4
1.0
0.0000 7.5390 13.3150
3.2060 0.0000 13.3150
3.2060 7.5390 0.0000
Cs Er Al Se
4 2 2 8
Direct
0.0541 0.0541 0.6959
0.3041 0.3041 0.9459
0.6959 0.6959 0.0541
0.9459 0.9459 0.3041
0.1250 0.1250 0.1250
0.8750 0.8750 0.8750
0.3750 0.3750 0.3750
0.6250 0.6250 0.6250
0.0075 0.6393 0.5514
0.3018 0.5514 0.6393
0.3607 0.9925 0.6982
0.4486 0.6982 0.9925
0.5514 0.3018 0.0075
0.6393 0.0075 0.3018
0.6982 0.4486 0.3607
0.9925 0.3607 0.4486
```

Output
- magnetic moment (μB/f.u.) = 0.0
- calculated volume (Å³/atom) = 40.228
- symmetry = Fddd, No. 70
- D(E_F) (states/eV per atom) = 0.00
- final energy (eV per atom) = -4.351


Entry 9:
## CsErAlTe4 (PBE)

Data for a relaxed CsErAlTe4 crystal.

```
CsErAlTe4
1.0
7.6226 0.0000 0.0000
0.0000 6.6245 0.0000
-3.0269 0.0000 10.3210
Cs Er Al Te
2 2 2 8
Direct
0.2341 0.2500 0.0493
0.7659 0.7500 0.9507
0.2546 0.2500 0.5508
0.7454 0.7500 0.4492
0.2631 0.7500 0.3401
0.7369 0.2500 0.6599
0.0152 0.5091 0.6952
0.0152 0.9909 0.6952
0.4349 0.7500 0.5846
0.4570 0.7500 0.1809
0.5430 0.2500 0.8191
0.5651 0.2500 0.4154
0.9848 0.0091 0.3048
0.9848 0.4909 0.3048
```

Output
- magnetic moment (μB/f.u.) = 0.0
- calculated volume (Å³/atom) = 37.227
- symmetry = P2_1/m, No. 11
- D(E_F) (states/eV per atom) = 0.27
- final energy (eV per atom) = -4.011


Entry 10:
## Cs2ErAlTe4 (PBE)

Data for a relaxed Cs2ErAlTe4 crystal.

```
Cs2ErAlTe4
1.0
0.0000 7.9570 14.0819
3.3843 0.0000 14.0819
3.3843 7.9570 0.0000
Cs Er Al Te
4 2 2 8
Direct
0.0560 0.0560 0.6940
0.3060 0.3060 0.9440
0.6940 0.6940 0.0560
0.9440 0.9440 0.3060
0.1250 0.1250 0.1250
0.8750 0.8750 0.8750
0.3750 0.3750 0.3750
0.6250 0.6250 0.6250
0.0021 0.3564 0.4477
0.3062 0.5523 0.6436
0.3564 0.0021 0.6938
0.4477 0.6938 0.0021
0.5523 0.3062 0.9979
0.6436 0.9979 0.3062
0.6938 0.4477 0.3564
0.9979 0.6436 0.5523
```

Output
- magnetic moment (μB/f.u.) = 0.0
- calculated volume (Å³/atom) = 47.401
- symmetry = Fddd, No. 70
- D(E_F) (states/eV per atom) = 0.00
- final energy (eV per atom) = -3.855